{
  "formula": "Na4Y3BiO8",
  "functional": "GGA-PBE",
  "state": "optimized geometry",
  "cell": [[-3.829, -3.396, -4.663], [5.705, -1.572, -3.540], [-0.480, -1.621, 6.714]],
  "species": ["Na", "Na", "Na", "Na", "Bi", "O", "O", "O", "O", "O", "O", "O", "O", "Y", "Y", "Y"],
  "fractional_positions": [[0.000, 0.000, 0.000], [0.000, 0.000, 0.500], [0.500, 0.000, 0.500], [0.500, 0.000, 0.000], [0.000, 0.500, 0.000], [0.272, 0.283, 0.027], [0.264, 0.290, 0.527], [0.728, 0.717, 0.973], [0.245, 0.717, 0.973], [0.755, 0.283, 0.510], [0.755, 0.283, 0.027], [0.736, 0.710, 0.473], [0.245, 0.717, 0.490], [0.500, 0.500, 0.500], [0.500, 0.500, 0.000], [0.000, 0.500, 0.500]],
  "formation_energy_uncorrected_mev_per_atom": -2418,
  "dos_at_fermi_per_ev_atom": 0.00,
  "final_energy_ev_per_cell": -106.9,
  "space_group": "No. 166",
  "volume_a3_per_cell": 233
}

---

{
  "formula": "NaYBi2O8",
  "functional": "GGA-PBE",
  "state": "optimized geometry",
  "cell": [[-0.836, 1.381, 5.825], [-1.373, -5.528, -2.022], [6.559, -2.160, 1.454]],
  "species": ["Na", "O", "O", "O", "O", "O", "O", "O", "O", "Bi", "Bi", "Y"],
  "fractional_positions": [[0.000, 0.000, 0.500], [0.953, 0.637, 0.866], [0.363, 0.316, 0.866], [0.047, 0.363, 0.134], [0.333, 0.667, 0.653], [0.684, 0.047, 0.866], [0.667, 0.333, 0.347], [0.316, 0.953, 0.134], [0.637, 0.684, 0.134], [0.667, 0.333, 0.047], [0.333, 0.667, 0.953], [0.000, 0.000, 0.000]],
  "formation_energy_uncorrected_mev_per_atom": -945,
  "dos_at_fermi_per_ev_atom": 0.95,
  "final_energy_ev_per_cell": -66.6,
  "space_group": "No. 147",
  "volume_a3_per_cell": 223
}

---

{
  "formula": "NaY2BiO6",
  "functional": "GGA-PBE",
  "state": "optimized geometry",
  "cell": [[5.801, 0.000, 0.000], [2.900, 5.023, 0.000], [2.900, 1.675, 5.161]],
  "species": ["Na", "O", "O", "O", "O", "O", "O", "Y", "Y", "Bi"],
  "fractional_positions": [[0.798, 0.798, 0.606], [0.593, 0.230, 0.237], [0.147, 0.389, 0.761], [0.940, 0.593, 0.237], [0.230, 0.940, 0.237], [0.703, 0.147, 0.761], [0.389, 0.703, 0.761], [0.524, 0.524, 0.429], [0.020, 0.020, 0.941], [0.319, 0.319, 0.044]],
  "formation_energy_uncorrected_mev_per_atom": -2324,
  "final_energy_ev_per_cell": -71.1,
  "space_group": "No. 146",
  "volume_a3_per_cell": 150
}

---

{
  "formula": "Na2Y2BiO6",
  "functional": "GGA-PBE",
  "state": "optimized geometry",
  "cell": [[5.990, -0.031, 0.105], [-2.987, 5.192, 0.105], [-1.030, -1.770, 5.609]],
  "species": ["Na", "Na", "O", "O", "O", "O", "O", "O", "Y", "Y", "Bi"],
  "fractional_positions": [[0.165, 0.835, 0.000], [0.835, 0.165, 0.000], [0.052, 0.396, 0.703], [0.604, 0.948, 0.297], [0.743, 0.743, 0.706], [0.257, 0.257, 0.294], [0.396, 0.052, 0.703], [0.948, 0.604, 0.297], [0.335, 0.665, 0.500], [0.665, 0.335, 0.500], [0.000, 0.000, 0.500]],
  "formation_energy_uncorrected_mev_per_atom": -2244,
  "dos_at_fermi_per_ev_atom": 0.32,
  "final_energy_ev_per_cell": -73.9,
  "space_group": "No. 12",
  "volume_a3_per_cell": 176
}

---

{
  "formula": "Na2YBiO4",
  "functional": "GGA-PBE",
  "state": "optimized geometry",
  "cell": [[-0.016, -2.208, -2.690], [2.347, -4.326, 3.536], [-5.985, -0.245, 0.237]],
  "species": ["Na", "Na", "O", "O", "O", "O", "Y", "Bi"],
  "fractional_positions": [[0.000, 0.500, 0.500], [0.500, 0.000, 0.500], [0.500, 0.255, 0.225], [0.000, 0.272, 0.785], [0.500, 0.745, 0.775], [0.000, 0.728, 0.215], [0.500, 0.500, 0.000], [0.000, 0.000, 0.000]],
  "formation_energy_uncorrected_mev_per_atom": -2054,
  "dos_at_fermi_per_ev_atom": 0.00,
  "final_energy_ev_per_cell": -49.2,
  "space_group": "No. 10",
  "volume_a3_per_cell": 119
}

---

{
  "formula": "NaYBiO2",
  "functional": "GGA-PBE",
  "state": "optimized geometry",
  "cell": [[-1.920, 1.328, 3.700], [4.983, -1.613, 3.165], [1.662, 4.006, -0.575]],
  "species": ["Bi", "Na", "O", "O", "Y"],
  "fractional_positions": [[0.500, 0.500, 0.500], [0.000, 0.500, 0.000], [0.000, 0.000, 0.500], [0.500, 0.000, 0.000], [0.000, 0.000, 0.000]],
  "formation_energy_uncorrected_mev_per_atom": -955,
  "dos_at_fermi_per_ev_atom": 1.08,
  "final_energy_ev_per_cell": -26.4,
  "space_group": "No. 123",
  "volume_a3_per_cell": 117
}